<P>
DFT (PBE-GGA) results for a geometry-optimized SmTlFeSe3 structure.

The structure in POSCAR format:
```
SmTlFeSe3
1.0
11.5245 0.0000 0.0000
0.0000 4.3064 0.0000
0.0000 0.0000 12.5706
Fe Se Sm Tl
4 12 4 4
Cartesian
8.6138 0.0000 2.5691
2.8515 0.0000 3.7162
8.6730 2.1532 8.8544
2.9107 2.1532 10.0015
6.9969 0.0000 0.7369
10.9774 0.0000 2.1093
2.4944 2.1532 2.5300
8.2566 2.1532 3.7553
5.2151 0.0000 4.1760
1.2347 0.0000 5.5484
10.2898 2.1532 7.0222
6.3094 2.1532 8.3946
3.2679 0.0000 8.8153
9.0301 0.0000 10.0406
0.5471 2.1532 10.4613
4.5276 2.1532 11.8337
5.5283 2.1532 2.1796
11.2905 2.1532 4.1057
0.2340 0.0000 8.4649
5.9962 0.0000 10.3910
1.9642 0.0000 0.0516
7.7265 0.0000 6.2337
3.7980 2.1532 6.3369
9.5602 2.1532 12.5190
```

<Q>
DFT (PBE-GGA) results for a geometry-optimized SmTlFeSe3 structure.

The structure in POSCAR format:
```
SmTlFeSe3
1.0
10.0465 0.0000 0.0000
0.0000 4.2097 0.0000
0.0000 0.0000 15.5940
Fe Se Sm Tl
4 12 4 4
Cartesian
6.5766 3.1573 2.0019
1.5533 3.1573 5.7951
8.4932 1.0524 9.7989
3.4700 1.0524 13.5921
8.3260 3.1573 0.3244
5.2544 1.0524 1.6801
2.1464 3.1573 3.5098
7.1697 3.1573 4.2872
0.2311 1.0524 6.1169
3.3027 3.1573 7.4725
6.7438 1.0524 8.1214
9.8154 3.1573 9.4771
2.8769 1.0524 11.3067
7.9001 1.0524 12.0842
4.7921 3.1573 13.9139
1.7205 1.0524 15.2695
3.2826 3.1573 0.9265
8.3059 3.1573 6.8705
1.7407 1.0524 8.7235
6.7639 1.0524 14.6674
9.6667 1.0524 2.8302
4.6434 1.0524 4.9668
5.4031 3.1573 10.6272
0.3798 3.1573 12.7638
```

Decreasing stability: <P>, <Q>

<P>
DFT (PBE-GGA) results for a geometry-optimized SmTlFeSe3 structure.

The structure in POSCAR format:
```
SmTlFeSe3
1.0
-3.8954 -11.8275 -8.6550
3.6730 0.1528 -1.8620
4.1833 -6.9961 7.6777
Fe Se Sm Tl
4 12 4 4
Cartesian
-0.7684 -12.1732 -9.3550
2.5954 -8.6277 -2.4285
1.3655 -10.0431 -0.4108
4.7293 -6.4976 6.5158
0.7135 -7.4991 -6.0481
1.0572 -1.7601 -0.3391
0.3083 -11.7982 -7.2002
2.4427 -6.1967 -2.5301
0.2581 -9.5949 -2.5584
4.1514 -4.0777 1.0145
-0.1905 -14.5931 -3.8537
3.7028 -9.0759 -0.2808
1.5181 -12.4741 -0.3092
3.6525 -6.8725 4.3609
2.9037 -16.9106 -2.5002
3.2474 -11.1716 3.2089
-0.2883 -6.7808 -3.4053
-1.4847 -13.9511 -6.3539
5.4456 -4.7197 3.5146
4.2492 -11.8899 0.5661
-1.9149 -9.2284 -6.8148
1.8423 -6.3406 0.8336
2.1186 -12.3301 -3.6729
5.8757 -9.4424 3.9755
```

<Q>
DFT (PBE-GGA) results for a geometry-optimized SmTlFeSe3 structure.

The structure in POSCAR format:
```
SmTlFeSe3
1.0
-5.7878 2.2893 6.3618
-6.5674 -1.8582 5.7121
7.6798 -2.1331 4.4020
Fe Se Sm Tl
2 6 2 2
Cartesian
-3.6038 -0.4906 7.4562
-1.0716 -1.2115 9.0198
-6.1776 0.2155 6.0370
-2.7538 -0.2825 5.1080
-5.2406 -0.5061 9.5197
3.8399 -1.0666 2.2010
0.5652 -1.1959 6.9563
-1.9215 -1.4196 11.3680
-7.1371 -0.4925 11.7085
2.4617 -1.2095 4.7675
-1.1250 -0.0826 1.8772
-3.5504 -1.6195 14.5988
```

<R>
DFT (PBE-GGA) results for a geometry-optimized SmTlFeSe3 structure.

The structure in POSCAR format:
```
SmTlFeSe3
1.0
-1.3457 -2.6471 -2.8948
-4.3279 -5.1860 3.7836
-8.8860 6.2559 -1.5897
Fe Se Sm Tl
2 6 2 2
Cartesian
-7.0194 -4.7312 1.6485
-7.5402 3.1540 -2.3494
-4.7339 -5.0633 0.8897
-4.0674 -1.6117 -2.5763
-7.8545 -2.8664 0.3314
-6.7051 1.2892 -1.0323
-10.4922 0.0345 1.8754
-9.8257 3.4861 -1.5906
0.0000 0.0000 0.0000
-4.4430 3.1279 -0.7949
-4.7504 -1.7209 0.8115
-9.8092 0.1437 -1.5124
```

Decreasing stability: <P>, <R>, <Q>